1.
PmDy6Sc6 | GGA-PBE | optimized geometry

extended XYZ file:
```
13
Lattice="6.309 0.000 0.000 0.000 10.753 0.000 -3.154 0.000 5.681" Properties=species:S:1:pos:R:3 pbc="T T T"
Pm 0.000 0.000 0.000
Dy 0.000 3.672 0.000
Dy 0.000 7.081 0.000
Dy 0.002 0.000 3.526
Dy -0.004 5.377 4.049
Dy 3.160 5.377 1.632
Dy 3.154 0.000 2.155
Sc -1.577 2.746 2.840
Sc -1.577 8.007 2.840
Sc 3.155 2.348 0.000
Sc 1.578 2.752 2.840
Sc 1.578 8.001 2.840
Sc 3.155 8.406 0.000
```

DOS at the Fermi energy: 25.09 states/eV per cell
ΔE_f: 20.7 kJ per mole of atoms
M_tot: 0.01 μB/f.u.
space-group type: P2/m (10)


2.
Pm12Dy7Sc | GGA-PBE | optimized geometry

extended XYZ file:
```
20
Lattice="9.776 5.644 2.057 -9.776 5.644 2.057 0.000 -11.289 2.057" Properties=species:S:1:pos:R:3 pbc="T T T"
Pm -4.038 -4.294 2.057
Pm -5.738 -1.350 2.057
Pm 0.000 -3.984 1.223
Pm -3.451 1.992 1.223
Pm 4.038 -4.294 2.057
Pm -1.700 5.644 2.057
Pm 3.450 1.992 1.223
Pm -3.451 -1.992 4.949
Pm 5.738 -1.350 2.057
Pm 1.700 5.644 2.057
Pm 3.450 -1.992 4.949
Pm 0.000 3.984 4.949
Dy 0.000 0.000 0.000
Dy -2.358 -1.362 1.850
Dy 2.358 -1.362 1.850
Dy 0.000 2.723 1.850
Dy 0.000 -2.723 4.322
Dy -2.358 1.362 4.322
Dy 2.358 1.362 4.322
Sc 0.000 0.000 3.086
```

DOS at the Fermi energy: 27.77 states/eV per cell
ΔE_f: 20.1 kJ per mole of atoms
M_tot: 0.00 μB/f.u.
space-group type: R-3m (166)


3.
Pm2DySc | GGA-PBE | optimized geometry

extended XYZ file:
```
4
Lattice="3.578 0.000 0.000 0.000 3.578 0.000 0.000 0.000 9.688" Properties=species:S:1:pos:R:3 pbc="T T T"
Pm 0.000 0.000 2.312
Pm 0.000 0.000 7.376
Dy 1.789 1.789 4.844
Sc 1.789 1.789 0.000
```

DOS at the Fermi energy: 6.09 states/eV per cell
ΔE_f: 3.8 kJ per mole of atoms
M_tot: 0.00 μB/f.u.
space-group type: P4/mmm (123)


4.
Pm6DySc2 | GGA-PBE | optimized geometry

extended XYZ file:
```
18
Lattice="8.357 -5.818 0.000 8.357 5.818 0.000 -0.797 0.000 5.853" Properties=species:S:1:pos:R:3 pbc="T T T"
Pm 6.538 4.560 5.606
Pm 4.369 1.296 0.794
Pm 8.979 4.560 3.174
Pm 5.998 1.302 4.124
Pm 3.970 -1.296 3.721
Pm 9.519 1.302 4.656
Pm 6.397 -1.302 1.197
Pm 11.946 1.296 2.133
Pm 9.918 -1.302 1.730
Pm 6.936 -4.560 2.679
Pm 11.547 -1.296 5.059
Pm 9.378 -4.560 0.247
Dy 8.157 1.755 1.463
Dy 7.759 -1.755 4.390
Sc 2.293 1.697 3.444
Sc 2.692 -1.697 0.517
Sc 13.224 1.697 5.336
Sc 13.623 -1.697 2.409
```

DOS at the Fermi energy: 24.65 states/eV per cell
ΔE_f: 9.8 kJ per mole of atoms
M_tot: 0.00 μB/f.u.
space-group type: C2/c (15)


5.
Pm5Dy5Sc2 | GGA-PBE | optimized geometry

extended XYZ file:
```
12
Lattice="7.512 -2.502 0.000 7.512 2.502 0.000 -4.997 0.000 10.022" Properties=species:S:1:pos:R:3 pbc="T T T"
Pm 0.000 0.000 0.000
Pm -0.040 0.000 5.001
Pm 2.557 0.000 2.511
Pm 7.471 0.000 7.511
Pm 10.068 0.000 5.021
Dy -0.005 0.000 10.020
Dy 2.559 0.000 7.523
Dy 5.014 0.000 5.011
Dy 7.469 0.000 2.499
Dy 10.033 0.000 0.002
Sc -2.505 0.000 7.549
Sc 12.534 0.000 2.473
```

DOS at the Fermi energy: 17.89 states/eV per cell
ΔE_f: 3.5 kJ per mole of atoms
M_tot: 0.00 μB/f.u.
space-group type: C2/m (12)


6.
Pm4Dy5Sc | GGA-PBE | optimized geometry

extended XYZ file:
```
10
Lattice="-5.316 5.316 2.926 5.316 -5.316 2.926 5.316 5.316 -2.926" Properties=species:S:1:pos:R:3 pbc="T T T"
Pm 3.425 0.000 0.000
Pm 7.207 0.000 0.000
Pm 0.000 3.425 0.000
Pm 0.000 7.207 0.000
Dy 0.000 0.000 1.363
Dy 3.337 3.337 0.107
Dy 1.980 -1.980 3.033
Dy -1.980 1.980 3.033
Dy 1.980 1.980 3.033
Sc 0.000 0.000 4.453
```

DOS at the Fermi energy: 13.70 states/eV per cell
ΔE_f: 21.2 kJ per mole of atoms
M_tot: 0.00 μB/f.u.
space-group type: I4mm (107)


7.
Pm6DySc3 | GGA-PBE | optimized geometry

extended XYZ file:
```
20
Lattice="4.771 -10.413 0.000 4.771 10.413 0.000 0.000 0.000 6.305" Properties=species:S:1:pos:R:3 pbc="T T T"
Pm 4.771 10.108 3.153
Pm 3.093 4.556 5.983
Pm 3.065 1.193 4.319
Pm 4.771 4.120 2.945
Pm 3.065 -1.193 1.167
Pm 6.449 4.556 5.983
Pm 3.093 -4.556 2.831
Pm 6.477 1.193 4.319
Pm 4.771 -4.120 6.098
Pm 6.477 -1.193 1.167
Pm 6.449 -4.556 2.831
Pm 4.771 -10.108 0.000
Dy 4.771 7.219 1.626
Dy 4.771 -7.219 4.778
Sc 1.597 2.634 1.783
Sc 1.597 -2.634 4.935
Sc 4.771 1.724 1.051
Sc 4.771 -1.724 4.203
Sc 7.945 2.634 1.783
Sc 7.945 -2.634 4.935
```

DOS at the Fermi energy: 30.77 states/eV per cell
ΔE_f: 13.5 kJ per mole of atoms
M_tot: 0.00 μB/f.u.
space-group type: Cmc2_1 (36)


8.
Pm2Dy2Sc7 | GGA-PBE | optimized geometry

extended XYZ file:
```
11
Lattice="5.341 -5.429 0.000 5.341 5.429 0.000 -2.289 0.000 5.283" Properties=species:S:1:pos:R:3 pbc="T T T"
Pm 2.356 0.000 0.481
Pm 6.037 0.000 4.802
Dy 5.341 3.013 0.000
Dy 5.341 -3.013 0.000
Sc -1.145 0.000 2.641
Sc 2.751 2.916 1.822
Sc 5.643 2.916 3.461
Sc 2.729 0.000 3.664
Sc 5.664 0.000 1.619
Sc 2.751 -2.916 1.822
Sc 5.643 -2.916 3.461
```

DOS at the Fermi energy: 19.31 states/eV per cell
ΔE_f: 16.7 kJ per mole of atoms
M_tot: 0.00 μB/f.u.
space-group type: C2/m (12)


9.
PmDy2Sc5 | GGA-PBE | optimized geometry

extended XYZ file:
```
8
Lattice="-3.413 3.413 4.661 3.413 -3.413 4.661 3.413 3.413 -4.661" Properties=species:S:1:pos:R:3 pbc="T T T"
Pm 0.000 0.000 0.000
Dy 3.413 0.000 0.000
Dy 0.000 3.413 0.000
Sc 1.706 1.706 -2.330
Sc 1.706 -1.706 2.330
Sc -1.706 1.706 2.330
Sc 0.000 0.000 4.661
Sc 1.706 1.706 2.330
```

DOS at the Fermi energy: 13.96 states/eV per cell
ΔE_f: 5.6 kJ per mole of atoms
M_tot: 0.00 μB/f.u.
space-group type: I4/mmm (139)


10.
Pm12DySc6 | GGA-PBE | optimized geometry

extended XYZ file:
```
19
Lattice="-5.313 5.313 5.313 5.313 -5.313 5.313 5.313 5.313 -5.313" Properties=species:S:1:pos:R:3 pbc="T T T"
Pm 5.313 -2.461 3.200
Pm 2.852 2.112 0.000
Pm 7.773 2.112 0.000
Pm 3.200 5.313 -2.461
Pm 2.112 0.000 2.852
Pm 0.000 2.852 2.112
Pm 5.313 2.461 3.200
Pm 3.200 5.313 2.461
Pm 2.112 0.000 7.773
Pm -2.461 3.200 5.313
Pm 2.461 3.200 5.313
Pm 0.000 7.773 2.112
Dy 0.000 0.000 0.000
Sc 5.313 0.000 1.464
Sc 5.313 3.849 0.000
Sc 1.464 5.313 0.000
Sc 3.849 0.000 5.313
Sc 0.000 1.464 5.313
Sc 0.000 5.313 3.849
```

DOS at the Fermi energy: 32.47 states/eV per cell
ΔE_f: 22.6 kJ per mole of atoms
M_tot: 0.00 μB/f.u.
space-group type: Im-3 (204)


11.
Pm4DySc | GGA-PBE | optimized geometry

extended XYZ file:
```
12
Lattice="-3.979 4.303 5.851 3.979 -4.303 5.851 3.979 4.303 -5.851" Properties=species:S:1:pos:R:3 pbc="T T T"
Pm 1.667 2.152 0.311
Pm 2.313 -2.152 6.162
Pm 0.000 0.475 2.667
Pm 3.979 0.475 3.184
Pm 0.000 3.828 2.667
Pm 3.979 3.828 3.184
Pm 1.667 6.455 -0.311
Pm 2.313 2.152 5.539
Dy 1.990 2.152 -2.925
Dy 1.990 -2.152 2.925
Sc 3.979 0.000 0.000
Sc 0.000 0.000 5.851
```

DOS at the Fermi energy: 15.11 states/eV per cell
ΔE_f: 35.0 kJ per mole of atoms
M_tot: 0.00 μB/f.u.
space-group type: Imma (74)


12.
Pm4Dy3Sc2 | GGA-PBE | optimized geometry

extended XYZ file:
```
9
Lattice="7.513 -2.499 0.000 7.513 2.499 0.000 -2.490 0.000 7.448" Properties=species:S:1:pos:R:3 pbc="T T T"
Pm -0.010 0.000 2.432
Pm 2.484 0.000 5.030
Pm 10.052 0.000 2.418
Pm 12.546 0.000 5.016
Dy 5.001 0.000 2.429
Dy 7.513 0.000 0.000
Dy 7.535 0.000 5.019
Sc 0.059 0.000 7.442
Sc 12.477 0.000 0.006
```

DOS at the Fermi energy: 14.26 states/eV per cell
ΔE_f: 4.3 kJ per mole of atoms
M_tot: 0.00 μB/f.u.
space-group type: C2/m (12)